Entry 1:
Entry from the Alexandria database: a geometry-optimized Mn3Al8Zn2 structure (PBE).

Results
Energy of formation from the pure elements   -90 kJ/mol of formula units
Total magnetization   0.52 μB per atom
ρ   4.1 g/cm³
Symmetry   Cmmm, No. 65

a b c (Å): 4.0592 7.5393 7.5396
angles (deg): 65.03 90.00 90.00
Last column: nearest neighbours and their distance in Å.
Positions (direct):
Al (0.5000, 0.8628, 0.3772)  2 Zn 2.55-2.68, 3 Mn 2.55-2.58, 2 Al 2.83
Al (0.5000, 0.3773, 0.8629)  2 Zn 2.55-2.68, 3 Mn 2.55-2.58, 2 Al 2.83
Al (0.5000, 0.6227, 0.1371)  2 Zn 2.55-2.68, 3 Mn 2.55-2.58, 2 Al 2.83
Al (0.5000, 0.1372, 0.6228)  2 Zn 2.55-2.68, 3 Mn 2.55-2.58, 2 Al 2.83
Mn (0.0000, 0.2332, 0.7669)  8 Al 2.52-2.59, 2 Mn 2.77
Al (0.0000, 0.6124, 0.6123)  2 Mn 2.59, 2 Zn 2.66, 5 Al 2.83-2.86
Mn (0.5000, 0.0000, 0.0000)  8 Al 2.58-2.63, 4 Mn 2.77
Zn (0.5000, 0.2527, 0.2529)  8 Al 2.55-2.68
Zn (0.5000, 0.7473, 0.7471)  8 Al 2.55-2.68
Al (0.0000, 0.8687, 0.8686)  4 Mn 2.52-2.63, 2 Zn 2.55
Al (0.0000, 0.3876, 0.3877)  2 Mn 2.59, 2 Zn 2.66, 5 Al 2.83-2.86
Al (0.0000, 0.1313, 0.1314)  4 Mn 2.52-2.63, 2 Zn 2.55
Mn (0.0000, 0.7668, 0.2331)  8 Al 2.52-2.59, 2 Mn 2.77

Entry 2:
Entry from the Alexandria database: a geometry-optimized Mn3AlZn structure (PBE).

Results
Energy of formation from the pure elements   423 kJ/mol of formula units
Total magnetization   2.06 μB per atom
ρ   4.6 g/cm³
Symmetry   Pm-3m, No. 221

a b c (Å): 4.5237 4.5237 4.5237
angles (deg): 90.00 90.00 90.00
Last column: nearest neighbours and their distance in Å.
Positions (direct):
Mn (0.0000, 0.5000, 0.0000)  2 Zn 2.26
Zn (0.0000, 0.0000, 0.0000)  6 Mn 2.26
Mn (0.5000, 0.0000, 0.0000)  2 Zn 2.26
Al (0.5000, 0.5000, 0.5000)  12 Mn 3.20
Mn (0.0000, 0.0000, 0.5000)  2 Zn 2.26

Entry 3:
Entry from the Alexandria database: a geometry-optimized MnAlZn3 structure (PBE).

Results
Energy of formation from the pure elements   362 kJ/mol of formula units
Total magnetization   0.87 μB per atom
ρ   4.2 g/cm³
Symmetry   Pm-3m, No. 221

a b c (Å): 4.7776 4.7776 4.7776
angles (deg): 90.00 90.00 90.00
Last column: nearest neighbours and their distance in Å.
Positions (direct):
Zn (0.5000, 0.0000, 0.0000)  2 Al 2.39
Al (0.0000, 0.0000, 0.0000)  6 Zn 2.39
Zn (0.0000, 0.0000, 0.5000)  2 Al 2.39
Mn (0.5000, 0.5000, 0.5000)  12 Zn 3.38
Zn (0.0000, 0.5000, 0.0000)  2 Al 2.39

Entry 4:
Entry from the Alexandria database: a geometry-optimized Mn2AlZn structure (PBE).

Results
Energy of formation from the pure elements   -38 kJ/mol of formula units
Total magnetization   1.34 μB per atom
ρ   6.3 g/cm³
Symmetry   C2/m, No. 12

a b c (Å): 6.0863 4.5077 2.7385
angles (deg): 89.90 63.42 122.63
Last column: nearest neighbours and their distance in Å.
Positions (direct):
Al (0.5000, 0.5000, 0.0000)  8 Mn 2.64, 2 Zn 2.72, 2 Al 2.74
Mn (0.5000, 0.0000, 0.5000)  4 Zn 2.64, 4 Al 2.64, 4 Mn 2.72-2.74
Mn (0.0000, 0.0000, 0.0000)  4 Al 2.64, 4 Zn 2.64, 4 Mn 2.72-2.74
Zn (0.0000, 0.5000, 0.5000)  8 Mn 2.64, 2 Al 2.72, 2 Zn 2.74

Entry 5:
Entry from the Alexandria database: a geometry-optimized MnAlZn2 structure (PBE).

Results
Energy of formation from the pure elements   -10 kJ/mol of formula units
Total magnetization   0.46 μB per atom
ρ   6.3 g/cm³
Symmetry   C2/m, No. 12

a b c (Å): 5.5178 5.5178 4.3370
angles (deg): 59.79 59.79 29.70
Last column: nearest neighbours and their distance in Å.
Positions (direct):
Zn (0.4860, 0.4860, 0.5124)  6 Zn 2.56-2.83, 2 Mn 2.59, 3 Al 2.81-2.86
Mn (0.7500, 0.7500, 0.7500)  4 Zn 2.59, 4 Al 2.59, 2 Mn 2.83
Zn (0.0140, 0.0140, 0.9876)  6 Zn 2.56-2.83, 2 Mn 2.59, 3 Al 2.81-2.86
Al (0.2500, 0.2500, 0.2500)  4 Mn 2.59, 6 Zn 2.81-2.86, 2 Al 2.83

Entry 6:
Entry from the Alexandria database: a geometry-optimized MnAlZn6 structure (PBE).

Results
Energy of formation from the pure elements   29 kJ/mol of formula units
Total magnetization   0.40 μB per atom
ρ   6.7 g/cm³
Symmetry   Cmmm, No. 65

a b c (Å): 3.8588 7.8101 5.5390
angles (deg): 134.83 90.00 90.00
Last column: nearest neighbours and their distance in Å.
Positions (direct):
Zn (0.5000, 0.1249, 0.7500)  8 Zn 2.75, 2 Al 2.77, 2 Mn 2.77
Zn (0.0000, 0.8690, 0.2500)  8 Zn 2.70-2.84, 2 Mn 2.71, 2 Al 2.78
Zn (0.0000, 0.3823, 0.7645)  8 Zn 2.70-2.84, 2 Mn 2.71, 2 Al 2.79
Mn (0.5000, 0.6249, 0.2499)  12 Zn 2.71-2.77
Al (0.5000, 0.1251, 0.2502)  12 Zn 2.77-2.79
Zn (0.5000, 0.6251, 0.7500)  8 Zn 2.75, 2 Al 2.77, 2 Mn 2.77
Zn (0.0000, 0.3810, 0.2500)  8 Zn 2.70-2.84, 2 Mn 2.71, 2 Al 2.78
Zn (0.0000, 0.8677, 0.7354)  8 Zn 2.70-2.84, 2 Mn 2.71, 2 Al 2.79

Entry 7:
Entry from the Alexandria database: a geometry-optimized MnAlZn2 structure (PBE).

Results
Energy of formation from the pure elements   -19 kJ/mol of formula units
Total magnetization   0.60 μB per atom
ρ   6.3 g/cm³
Symmetry   P2/m, No. 10

a b c (Å): 2.7430 4.5824 5.4192
angles (deg): 55.77 90.00 90.00
Last column: nearest neighbours and their distance in Å.
Positions (direct):
Mn (0.0000, 0.0000, 0.5000)  4 Al 2.67, 6 Zn 2.71-2.74, 2 Mn 2.74
Zn (0.0000, 0.0000, 0.0000)  6 Zn 2.67-2.74, 2 Mn 2.71, 4 Al 2.74
Al (0.5000, 0.5000, 0.5000)  4 Mn 2.67, 6 Zn 2.71-2.74, 2 Al 2.74
Zn (0.5000, 0.5000, 0.0000)  6 Zn 2.67-2.74, 2 Al 2.71, 4 Mn 2.74

Entry 8:
Entry from the Alexandria database: a geometry-optimized Mn2AlZn structure (PBE).

Results
Energy of formation from the pure elements   146 kJ/mol of formula units
Total magnetization   1.44 μB per atom
ρ   5.6 g/cm³
Symmetry   I-42d, No. 122

a b c (Å): 6.7795 6.7795 5.4680
angles (deg): 51.69 51.69 90.00
Last column: nearest neighbours and their distance in Å.
Positions (direct):
Mn (0.8750, 0.8802, 0.7500)  2 Zn 2.46, 2 Al 2.51, 2 Mn 2.63
Zn (0.0000, 0.0000, 0.0000)  4 Mn 2.46, 2 Al 2.63
Zn (0.7500, 0.2500, 0.5000)  4 Mn 2.46, 2 Al 2.63
Al (0.2500, 0.7500, 0.5000)  4 Mn 2.51, 2 Zn 2.63
Mn (0.6302, 0.1250, 0.2500)  2 Zn 2.46, 2 Al 2.51, 2 Mn 2.63
Mn (0.3750, 0.3698, 0.7500)  2 Zn 2.46, 2 Al 2.51, 2 Mn 2.63
Mn (0.1198, 0.6250, 0.2500)  2 Zn 2.46, 2 Al 2.51, 2 Mn 2.63
Al (0.5000, 0.5000, 0.0000)  4 Mn 2.51, 2 Zn 2.63

Entry 9:
Entry from the Alexandria database: a geometry-optimized Mn2AlZn structure (PBE).

Results
Energy of formation from the pure elements   -39 kJ/mol of formula units
Total magnetization   1.33 μB per atom
ρ   6.3 g/cm³
Symmetry   I4/mmm, No. 139

a b c (Å): 4.5151 4.5151 4.5151
angles (deg): 129.48 129.51 74.21
Last column: nearest neighbours and their distance in Å.
Positions (direct):
Zn (0.7500, 0.2500, 0.5000)  8 Mn 2.64, 4 Al 2.72
Mn (0.5000, 0.5000, 0.0000)  4 Al 2.64, 4 Zn 2.64, 4 Mn 2.72
Al (0.2500, 0.7500, 0.5000)  8 Mn 2.64, 4 Zn 2.72
Mn (0.0000, 0.0000, 0.0000)  4 Al 2.64, 4 Zn 2.64, 4 Mn 2.72

Entry 10:
Entry from the Alexandria database: a geometry-optimized MnAl6Zn3 structure (PBE).

Results
Energy of formation from the pure elements   4 kJ/mol of formula units
Total magnetization   0.19 μB per atom
ρ   4.3 g/cm³
Symmetry   R-3, No. 148

a b c (Å): 7.1628 7.1628 7.1628
angles (deg): 105.78 105.78 105.78
Last column: nearest neighbours and their distance in Å.
Positions (direct):
Al (0.2827, 0.0635, 0.8273)  1 Mn 2.65, 4 Zn 2.66-2.95, 4 Al 2.69-2.82
Al (0.9365, 0.1727, 0.7173)  1 Mn 2.65, 4 Zn 2.66-2.95, 4 Al 2.69-2.82
Zn (0.6000, 0.8875, 0.7709)  2 Mn 2.65-2.69, 7 Al 2.65-2.95, 2 Zn 2.86
Zn (0.4000, 0.1125, 0.2291)  2 Mn 2.65-2.69, 7 Al 2.65-2.95, 2 Zn 2.86
Mn (0.0000, 0.0000, 0.0000)  6 Al 2.65, 6 Zn 2.65
Zn (0.1125, 0.2291, 0.4000)  2 Mn 2.65-2.69, 7 Al 2.65-2.95, 2 Zn 2.86
Zn (0.2291, 0.4000, 0.1125)  2 Mn 2.65-2.69, 7 Al 2.65-2.95, 2 Zn 2.86
Al (0.8006, 0.3622, 0.4616)  1 Mn 2.65, 3 Zn 2.65-2.75, 5 Al 2.69-2.82
Al (0.8273, 0.2827, 0.0635)  1 Mn 2.65, 4 Zn 2.66-2.95, 4 Al 2.69-2.82
Al (0.4616, 0.8006, 0.3622)  1 Mn 2.65, 3 Zn 2.65-2.75, 5 Al 2.69-2.82
Zn (0.7709, 0.6000, 0.8875)  2 Mn 2.65-2.69, 7 Al 2.65-2.95, 2 Zn 2.86
Al (0.0635, 0.8273, 0.2827)  1 Mn 2.65, 4 Zn 2.66-2.95, 4 Al 2.69-2.82
Al (0.5384, 0.1994, 0.6378)  1 Mn 2.65, 3 Zn 2.65-2.75, 5 Al 2.69-2.82
Al (0.7173, 0.9365, 0.1727)  1 Mn 2.65, 4 Zn 2.66-2.95, 4 Al 2.69-2.82
Zn (0.8875, 0.7709, 0.6000)  2 Mn 2.65-2.69, 7 Al 2.65-2.95, 2 Zn 2.86
Al (0.1727, 0.7173, 0.9365)  1 Mn 2.65, 4 Zn 2.66-2.95, 4 Al 2.69-2.82
Mn (0.5000, 0.5000, 0.5000)  6 Al 2.65, 6 Zn 2.69
Al (0.3622, 0.4616, 0.8006)  1 Mn 2.65, 3 Zn 2.65-2.75, 5 Al 2.69-2.82
Al (0.6378, 0.5384, 0.1994)  1 Mn 2.65, 3 Zn 2.65-2.75, 5 Al 2.69-2.82
Al (0.1994, 0.6378, 0.5384)  1 Mn 2.65, 3 Zn 2.65-2.75, 5 Al 2.69-2.82

Entry 11:
Entry from the Alexandria database: a geometry-optimized Mn2AlZn structure (PBE).

Results
Energy of formation from the pure elements   -29 kJ/mol of formula units
Total magnetization   0.14 μB per atom
ρ   6.7 g/cm³
Symmetry   P4mm, No. 99

a b c (Å): 2.8159 2.8159 6.3212
angles (deg): 90.00 90.00 90.00
Last column: nearest neighbours and their distance in Å.
Positions (direct):
Al (0.5000, 0.5000, 0.7764)  4 Mn 2.50, 4 Zn 2.73
Mn (0.0000, 0.0000, 0.0152)  4 Mn 2.40, 4 Al 2.50
Mn (0.5000, 0.5000, 0.2267)  4 Mn 2.40, 4 Zn 2.56
Zn (0.0000, 0.0000, 0.4817)  4 Mn 2.56, 4 Al 2.73, 4 Zn 2.82

Entry 12:
Entry from the Alexandria database: a geometry-optimized Mn2AlZn structure (PBE).

Results
Energy of formation from the pure elements   -23 kJ/mol of formula units
Total magnetization   1.20 μB per atom
ρ   6.4 g/cm³
Symmetry   P4/mmm, No. 123

a b c (Å): 4.2039 4.2039 2.9609
angles (deg): 90.00 90.00 90.00
Last column: nearest neighbours and their distance in Å.
Positions (direct):
Al (0.0000, 0.5000, 0.5000)  8 Mn 2.57
Mn (0.0000, 0.0000, 0.0000)  4 Al 2.57, 4 Zn 2.57
Mn (0.5000, 0.5000, 0.0000)  4 Al 2.57, 4 Zn 2.57
Zn (0.5000, 0.0000, 0.5000)  8 Mn 2.57